(1)
A geometry-optimized Th4AsPb2Se structure. Source: the Alexandria database, functional PBE-GGA.

energy relative to the elements, uncorrected = -0.841 eV/atom
ρ = 10.23 Mg/m³
calculated total energy = -51.96 eV/f.u.

Lattice parameters (Å, degrees): 7.632 4.421 7.642 90.00 109.57 90.00
Atoms (fractional coordinates):
Th (0.226, 0.000, 0.239)
Th (0.227, 0.500, 0.745)
Th (0.773, 0.500, 0.255)
Th (0.774, 0.000, 0.761)
As (0.000, 0.500, 0.000)
Pb (0.500, 0.000, 0.000)
Pb (0.500, 0.500, 0.500)
Se (0.000, 0.000, 0.500)

---

(2)
A geometry-optimized Y3Ho4Er5 structure. Source: the Alexandria database, functional PBE-GGA.

ρ = 7.63 Mg/m³
ΔH_f (0 K) = 3.1 eV per formula unit
energy above the lowest structure with this stoichiometry = 22.4 kJ per mole of atoms
calculated total energy = -57.45 eV/f.u.

Lattice parameters (Å, degrees): 8.493 8.493 9.249 115.02 115.02 40.09
Atoms (fractional coordinates):
Y (0.000, 0.000, 0.000)
Y (0.290, 0.290, 0.768)
Y (0.710, 0.710, 0.232)
Ho (0.287, 0.287, 0.122)
Ho (0.419, 0.419, 0.558)
Ho (0.581, 0.581, 0.442)
Ho (0.713, 0.713, 0.878)
Er (0.073, 0.073, 0.699)
Er (0.173, 0.173, 0.386)
Er (0.500, 0.500, 0.000)
Er (0.827, 0.827, 0.614)
Er (0.927, 0.927, 0.301)

---

(3)
A geometry-optimized Nd7Mg2In2 structure. Source: the Alexandria database, functional PBE-GGA.

ρ = 5.73 Mg/m³
ΔH_f (0 K) = 1.1 eV per formula unit
calculated total energy = -40.96 eV/f.u.

Lattice parameters (Å, degrees): 6.840 6.840 8.707 90.00 90.00 113.69
Atoms (fractional coordinates):
Nd (0.000, 0.000, 0.000)
Nd (0.000, 0.500, 0.298)
Nd (0.000, 0.500, 0.702)
Nd (0.500, 0.000, 0.298)
Nd (0.500, 0.000, 0.702)
Nd (0.500, 0.500, 0.245)
Nd (0.500, 0.500, 0.755)
Mg (0.286, 0.714, 0.000)
Mg (0.714, 0.286, 0.000)
In (0.190, 0.190, 0.500)
In (0.810, 0.810, 0.500)

---

(4)
A geometry-optimized ZnSiSn2S structure. Source: the Alexandria database, functional PBE-GGA.

energy relative to the elements, uncorrected = 0.518 eV/atom
ρ = 4.60 Mg/m³
calculated total energy = -16.24 eV/f.u.

Lattice parameters (Å, degrees): 5.396 5.396 4.496 90.00 90.00 90.00
Atoms (fractional coordinates):
Zn (0.000, 0.000, 0.000)
Si (0.500, 0.500, 0.000)
Sn (0.000, 0.500, 0.500)
Sn (0.500, 0.000, 0.500)
S (0.000, 0.000, 0.500)

---

(5)
A geometry-optimized PuTe2Pd structure. Source: the Alexandria database, functional PBE-GGA.

energy relative to the elements, uncorrected = -0.633 eV/atom
ρ = 10.73 Mg/m³
energy above the lowest structure with this stoichiometry = 11.3 kJ per mole of atoms
calculated total energy = -28.34 eV/f.u.

Lattice parameters (Å, degrees): 4.934 4.934 3.851 90.00 90.00 90.00
Atoms (fractional coordinates):
Pu (0.000, 0.000, 0.000)
Te (0.000, 0.500, 0.500)
Te (0.500, 0.000, 0.500)
Pd (0.500, 0.500, 0.000)

---

(6)
A geometry-optimized Ac2ErSn4Pd3 structure. Source: the Alexandria database, functional PBE-GGA.

ρ = 9.12 Mg/m³
ΔH_f (0 K) = -7.8 eV per formula unit
calculated total energy = -52.18 eV/f.u.

Lattice parameters (Å, degrees): 4.582 4.582 12.269 90.00 90.00 90.00
Atoms (fractional coordinates):
Ac (0.000, 0.500, 0.234)
Ac (0.500, 0.000, 0.766)
Er (0.000, 0.000, 0.500)
Sn (0.000, 0.000, 0.000)
Sn (0.000, 0.500, 0.656)
Sn (0.500, 0.000, 0.344)
Sn (0.500, 0.500, 0.000)
Pd (0.000, 0.500, 0.876)
Pd (0.500, 0.000, 0.124)
Pd (0.500, 0.500, 0.500)

---

(7)
A geometry-optimized LaTbMgMn structure. Source: the Alexandria database, functional PBE-GGA.

ρ = 5.87 Mg/m³
ΔH_f (0 K) = 0.5 eV per formula unit
calculated total energy = -19.86 eV/f.u.

Lattice parameters (Å, degrees): 5.324 5.324 5.324 60.00 60.00 60.00
Atoms (fractional coordinates):
La (0.000, 0.000, 0.000)
Tb (0.500, 0.500, 0.500)
Mg (0.750, 0.750, 0.750)
Mn (0.250, 0.250, 0.250)

---

(8)
A geometry-optimized LiTaSi2 structure. Source: the Alexandria database, functional PBE-GGA.

energy relative to the elements, uncorrected = -0.060 eV/atom
ρ = 6.70 Mg/m³
energy above the lowest structure with this stoichiometry = 16.9 kJ per mole of atoms
calculated total energy = -24.85 eV/f.u.

Lattice parameters (Å, degrees): 3.422 3.422 5.165 90.00 90.00 90.00
Atoms (fractional coordinates):
Li (0.000, 0.000, 0.000)
Ta (0.500, 0.500, 0.710)
Si (0.000, 0.000, 0.504)
Si (0.500, 0.500, 0.214)

---

Total magnetization for every record listed, in sequence, given in μB/cell: 0.00 0.58 0.00 0.00 5.11 0.00 3.13 0.00.